(1)
Material: Pm2Ga5Co2Cu
Method: DFT, PBE
State: optimized geometry

- formation energy (kJ/mol of atoms) = -32
- raw total energy (Ry/atom) = -0.340

abc: 3.888 9.482 9.482
angles: 90.00 90.00 90.00
Fractional positions:
Co (0.000, 0.610, 0.890)
Ga (0.500, 0.445, 0.296)
Ga (0.500, 0.000, 0.500)
Cu (0.000, 0.000, 0.000)
Pm (0.000, 0.186, 0.314)
Ga (0.500, 0.555, 0.704)
Ga (0.500, 0.055, 0.796)
Ga (0.500, 0.296, 0.555)
Co (0.000, 0.110, 0.610)
Co (0.000, 0.890, 0.390)
Pm (0.000, 0.814, 0.686)
Ga (0.500, 0.945, 0.204)
Ga (0.500, 0.704, 0.445)
Cu (0.000, 0.500, 0.500)
Pm (0.000, 0.314, 0.814)
Ga (0.500, 0.500, 0.000)
Ga (0.500, 0.204, 0.055)
Pm (0.000, 0.686, 0.186)
Co (0.000, 0.390, 0.110)
Ga (0.500, 0.796, 0.945)

***

(2)
Material: Ba2AuC2O2
Method: DFT, PBE
State: optimized geometry

- raw total energy (Ry/atom) = -0.422
- formation energy (no corrections) (eV per atom) = -0.67

abc: 8.943 8.943 8.943
angles: 140.84 140.84 56.58
Fractional positions:
O (0.750, 0.750, 0.500)
C (0.709, 0.709, 0.000)
C (0.291, 0.291, 0.000)
Ba (0.880, 0.380, 0.500)
O (0.250, 0.750, 0.000)
Ba (0.620, 0.120, 0.500)
Ba (0.380, 0.880, 0.500)
Ba (0.120, 0.620, 0.500)
O (0.750, 0.250, 0.000)
C (0.210, 0.210, 0.000)
C (0.790, 0.790, 0.000)
O (0.250, 0.250, 0.500)
Au (0.500, 0.500, 0.000)
Au (0.000, 0.000, 0.000)

***

(3)
Material: Mg4HgW
Method: DFT, PBE
State: optimized geometry

- formation energy (kJ/mol of atoms) = 65
- raw total energy (Ry/atom) = -0.191

abc: 5.584 5.584 5.584
angles: 60.00 60.00 60.00
Last column: magnetic moment on the atom in μB.
Fractional positions:
Mg (0.376, 0.376, 0.873)  0.00
Mg (0.873, 0.376, 0.376)  0.00
Hg (0.000, 0.000, 0.000)  0.02
Mg (0.376, 0.376, 0.376)  0.00
W (0.750, 0.750, 0.750)  2.12
Mg (0.376, 0.873, 0.376)  0.00